DFT (PBE) results for a relaxed Be4CrSi crystal.

Results
Fermi-level density of states ... 0.280 states/eV/atom
Total magnetization ... 2.0 μB/f.u.
Formation energy without anion corrections ... 27 kJ/mol of formula units
Distance to the lowest polymorph of the same formula ... 0.069 eV/atom

Lattice parameters (Å, degrees): 4.458 4.458 3.508 90.00 90.00 124.32
Positions (direct):
Be 0.000 0.500 0.500
Be 0.191 0.809 0.000
Be 0.500 0.000 0.500
Be 0.809 0.191 0.000
Cr 0.500 0.500 0.000
Si 0.000 0.000 0.500